An optimized crystal structure of Na2AgSn, computed with PBE.

Properties
total DFT energy (no corrections)	-0.0849	hartree per atom
Fermi-level density of states	0.599	states/eV per atom
formation energy from the elements	0.3	eV/f.u.
total magnetization	0.00	μB per cell

Unit cell a=8.6367 b=8.6367 c=6.7312 alpha=50.09 beta=50.09 gamma=90.00
With the nearest neighbours (Å) after each atom.
Atoms (fractional coordinates):
Sn1 0.7500 0.2500 0.5000  2 Ag 2.83
Sn2 0.0000 0.0000 0.0000  2 Ag 2.83
Na1 0.8750 0.8450 0.7500  2 Na 2.88, 2 Ag 2.96
Na2 0.1550 0.6250 0.2500  2 Na 2.88, 2 Ag 2.96
Na3 0.3750 0.4050 0.7500  2 Na 2.88, 2 Ag 2.96
Na4 0.5950 0.1250 0.2500  2 Na 2.88, 2 Ag 2.96
Ag1 0.5000 0.5000 0.0000  2 Sn 2.83, 4 Na 2.96
Ag2 0.2500 0.7500 0.5000  2 Sn 2.83, 4 Na 2.96